one:
The following is a PBE calculation of a geometry-optimized Fe2HgAs2 structure, from Alexandria via LeMat-Bulk.

Lattice parameters (Å, degrees): 3.7860 3.7860 6.0769 71.85 71.85 90.00
Last column: nearest neighbours and their distance in Å.
Sites, in units of the cell vectors:
1 As 0.7500 0.2500 0.5000  4 Fe 2.38
2 As 0.2500 0.7500 0.5000  4 Fe 2.38
3 Hg 0.0000 0.0000 0.0000  8 Fe 2.97, 8 As 3.32
4 Fe 0.3822 0.3822 0.2355  4 As 2.38, 1 Fe 2.57
5 Fe 0.6178 0.6178 0.7645  4 As 2.38, 1 Fe 2.57

Results
DOS at the Fermi energy (states/eV per atom): 0.68
Size of the total moment (μB/f.u.): 0.00
Space-group type: I4/mmm, No. 139


two:
The following is a PBE calculation of a geometry-optimized Fe2HgAs2 structure, from Alexandria via LeMat-Bulk.

Lattice parameters (Å, degrees): 7.8424 7.8424 2.7091 90.00 90.00 90.00
Last column: nearest neighbours and their distance in Å.
Sites, in units of the cell vectors:
1 As 0.3586 0.8586 0.0000  6 Fe 2.65-2.68, 2 As 2.71
2 As 0.8586 0.6414 0.0000  6 Fe 2.65-2.68, 2 As 2.71
3 As 0.6414 0.1414 0.0000  6 Fe 2.65-2.68, 2 As 2.71
4 As 0.1414 0.3586 0.0000  6 Fe 2.65-2.68, 2 As 2.71
5 Hg 0.0000 0.0000 0.0000  2 Hg 2.71, 4 As 3.02
6 Hg 0.5000 0.5000 0.0000  2 Hg 2.71, 4 As 3.02
7 Fe 0.1497 0.6497 0.5000  6 As 2.65-2.68, 2 Fe 2.71
8 Fe 0.6497 0.8503 0.5000  6 As 2.65-2.68, 2 Fe 2.71
9 Fe 0.8503 0.3503 0.5000  6 As 2.65-2.68, 2 Fe 2.71
10 Fe 0.3503 0.1497 0.5000  6 As 2.65-2.68, 2 Fe 2.71

Results
DOS at the Fermi energy (states/eV per atom): 1.00
Size of the total moment (μB/f.u.): 5.25
Space-group type: P4/mbm, No. 127


Which structure above is the least stable? It is two.